# K2LiAs2

A relaxed structure of K2LiAs2 (PBE, Alexandria via LeMat-Bulk).

Cell lengths 7.2969, 7.2969, 5.3048 Å; angles 90.00, 90.00, 90.00 degrees
Space group P4/mbm (No. 127)
One atom of each set of equivalent atoms:
K: 0.1736 0.3264 0.0000 (multiplicity 4)
Li: 0.0000 0.0000 0.5000 (multiplicity 2)
As: 0.1189 0.6189 0.5000 (multiplicity 4)

Values from the calculation:
Formation energy from the elements ... -35 kJ/mol of atoms


# Pd3PtBr

A relaxed structure of Pd3PtBr (PBE, Alexandria via LeMat-Bulk).

Cell lengths 4.9427, 4.9427, 4.9427 Å; angles 90.00, 90.00, 90.00 degrees
Space group Pm-3m (No. 221)
One atom of each set of equivalent atoms:
Pd: 0.0000 0.0000 0.5000 (multiplicity 3)
Pt: 0.0000 0.0000 0.0000 (multiplicity 1)
Br: 0.5000 0.5000 0.5000 (multiplicity 1)

Values from the calculation:
Formation energy (no corrections) ... 0.90 eV/atom


# IrPtPb2O

A relaxed structure of IrPtPb2O (PBE, Alexandria via LeMat-Bulk).

Cell lengths 8.6873, 3.9573, 5.8662 Å; angles 90.00, 99.54, 90.00 degrees
Space group Cm (No. 8)
One atom of each set of equivalent atoms:
Ir: 0.0000 0.0000 0.0000 (multiplicity 2)
Pt: 0.0176 0.0000 0.4921 (multiplicity 2)
Pb: 0.2151 0.5000 0.7035 (multiplicity 2)
Pb: 0.3196 0.0000 0.2473 (multiplicity 2)
O: 0.0382 0.5000 0.9810 (multiplicity 2)

Values from the calculation:
Formation energy (no corrections) ... -0.15 eV/atom


# CaPRuN2

A relaxed structure of CaPRuN2 (PBE, Alexandria via LeMat-Bulk).

Cell lengths 3.8615, 3.8615, 4.4613 Å; angles 90.00, 90.00, 90.00 degrees
Space group P4/mmm (No. 123)
One atom of each set of equivalent atoms:
Ca: 0.0000 0.0000 0.0000 (multiplicity 1)
P: 0.5000 0.5000 0.5000 (multiplicity 1)
Ru: 0.5000 0.5000 0.0000 (multiplicity 1)
N: 0.0000 0.5000 0.5000 (multiplicity 2)

Values from the calculation:
Formation energy (no corrections) ... 0.87 eV/atom


# Y2CdNi9

A relaxed structure of Y2CdNi9 (PBE, Alexandria via LeMat-Bulk).

Cell lengths 4.9482, 4.9482, 24.1550 Å; angles 90.00, 90.00, 120.00 degrees
Space group R-3m (No. 166, hexagonal axes)
One atom of each set of equivalent atoms:
Y: 0.0000 0.0000 0.1357 (multiplicity 6)
Cd: 0.0000 0.0000 0.0000 (multiplicity 3)
Ni: 0.0000 0.0000 0.3329 (multiplicity 6)
Ni: 0.0000 0.0000 0.5000 (multiplicity 3)
Ni: 0.0009 0.5005 0.9183 (multiplicity 18)

Values from the calculation:
Formation energy from the elements ... -22 kJ/mol of atoms


# Tm5Al

A relaxed structure of Tm5Al (PBE, Alexandria via LeMat-Bulk).

Cell lengths 7.4923, 7.4923, 12.5999 Å; angles 90.00, 90.00, 90.00 degrees
Space group I4/mcm (No. 140)
One atom of each set of equivalent atoms:
Tm: 0.0000 0.0000 0.0000 (multiplicity 4)
Tm: 0.1572 0.3428 0.1449 (multiplicity 16)
Al: 0.0000 0.0000 0.2500 (multiplicity 4)

Values from the calculation:
Formation energy from the elements ... 7 kJ/mol of atoms


# AcSn2Pd2Au

A relaxed structure of AcSn2Pd2Au (PBE, Alexandria via LeMat-Bulk).

Cell lengths 4.7649, 4.7649, 15.8869 Å; angles 90.00, 90.00, 90.00 degrees
Space group I4/mmm (No. 139)
One atom of each set of equivalent atoms:
Ac: 0.0000 0.0000 0.0000 (multiplicity 2)
Sn: 0.0000 0.5000 0.2500 (multiplicity 4)
Pd: 0.0000 0.0000 0.1755 (multiplicity 4)
Au: 0.0000 0.0000 0.5000 (multiplicity 2)

Values from the calculation:
Formation energy from the elements ... -26 kJ/mol of atoms


# Th3Ga2Au4

A relaxed structure of Th3Ga2Au4 (PBE, Alexandria via LeMat-Bulk).

Cell lengths 10.9484, 4.6756, 8.8834 Å; angles 90.00, 115.24, 90.00 degrees
Space group C2/m (No. 12)
One atom of each set of equivalent atoms:
Th: 0.0000 0.0000 0.0000 (multiplicity 2)
Th: 0.1564 0.5000 0.6743 (multiplicity 4)
Ga: 0.1227 0.5000 0.2908 (multiplicity 4)
Au: 0.0804 0.0000 0.4054 (multiplicity 4)
Au: 0.2056 0.5000 0.0522 (multiplicity 4)

Values from the calculation:
Formation energy from the elements ... -67 kJ/mol of atoms


# MnVZn

A relaxed structure of MnVZn (PBE, Alexandria via LeMat-Bulk).

Cell lengths 3.0032, 3.0032, 8.5836 Å; angles 90.00, 90.00, 90.00 degrees
Space group I4mm (No. 107)
One atom of each set of equivalent atoms:
Mn: 0.0000 0.0000 0.0000 (multiplicity 2)
V: 0.0000 0.0000 0.6298 (multiplicity 2)
Zn: 0.0000 0.0000 0.3196 (multiplicity 2)

Values from the calculation:
Formation energy from the elements ... -4 kJ/mol of atoms


# Sb3Pt

A relaxed structure of Sb3Pt (PBE, Alexandria via LeMat-Bulk).

Cell lengths 5.8293, 5.8293, 5.8293 Å; angles 90.00, 90.00, 90.00 degrees
Space group Im-3m (No. 229)
One atom of each set of equivalent atoms:
Sb: 0.0000 0.0000 0.5000 (multiplicity 6)
Pt: 0.0000 0.0000 0.0000 (multiplicity 2)

Values from the calculation:
Formation energy (no corrections) ... 0.00 eV/atom


# AcLa3Er2

A relaxed structure of AcLa3Er2 (PBE, Alexandria via LeMat-Bulk).

Cell lengths 3.5500, 6.2106, 19.9516 Å; angles 90.00, 90.00, 90.00 degrees
Space group Immm (No. 71)
One atom of each set of equivalent atoms:
Ac: 0.0000 0.0000 0.0000 (multiplicity 2)
La: 0.0000 0.0000 0.1906 (multiplicity 4)
La: 0.0000 0.5000 0.0000 (multiplicity 2)
Er: 0.0000 0.0000 0.3625 (multiplicity 4)

Values from the calculation:
Formation energy from the elements ... 32 kJ/mol of atoms


# Ca2BiO

A relaxed structure of Ca2BiO (PBE, Alexandria via LeMat-Bulk).

Cell lengths 3.7001, 3.7001, 22.5559 Å; angles 90.00, 90.00, 120.00 degrees
Space group R-3m (No. 166, hexagonal axes)
One atom of each set of equivalent atoms:
Ca: 0.0000 0.0000 0.2255 (multiplicity 6)
Bi: 0.0000 0.0000 0.0000 (multiplicity 3)
O: 0.0000 0.0000 0.5000 (multiplicity 3)

Values from the calculation:
Formation energy (no corrections) ... -1.65 eV/atom


# Hg2Bi5O12

A relaxed structure of Hg2Bi5O12 (PBE, Alexandria via LeMat-Bulk).

Cell lengths 12.7268, 6.1516, 7.6705 Å; angles 90.00, 107.93, 90.00 degrees
Space group C2/m (No. 12)
One atom of each set of equivalent atoms:
Hg: 0.0000 0.2255 0.0000 (multiplicity 4)
Bi: 0.0000 0.0000 0.5000 (multiplicity 2)
Bi: 0.1852 0.5000 0.8549 (multiplicity 4)
Bi: 0.1925 0.5000 0.3554 (multiplicity 4)
O: 0.0111 0.5000 0.2277 (multiplicity 4)
O: 0.0539 0.0000 0.7859 (multiplicity 4)
O: 0.1514 0.2276 0.5303 (multiplicity 8)
O: 0.1888 0.2812 0.1146 (multiplicity 8)

Values from the calculation:
Formation energy (no corrections) ... -0.72 eV/atom


# RbVSb2

A relaxed structure of RbVSb2 (PBE, Alexandria via LeMat-Bulk).

Cell lengths 7.5493, 7.5493, 7.5493 Å; angles 90.00, 90.00, 90.00 degrees
Space group Fm-3m (No. 225)
One atom of each set of equivalent atoms:
Rb: 0.0000 0.0000 0.0000 (multiplicity 4)
V: 0.0000 0.0000 0.5000 (multiplicity 4)
Sb: 0.2500 0.2500 0.2500 (multiplicity 8)

Values from the calculation:
Formation energy (no corrections) ... 0.41 eV/atom


# RbRhIO2

A relaxed structure of RbRhIO2 (PBE, Alexandria via LeMat-Bulk).

Cell lengths 4.3304, 4.3304, 7.3658 Å; angles 90.00, 90.00, 90.00 degrees
Space group P4/mmm (No. 123)
One atom of each set of equivalent atoms:
Rb: 0.0000 0.0000 0.0000 (multiplicity 1)
Rh: 0.5000 0.5000 0.5000 (multiplicity 1)
I: 0.0000 0.0000 0.5000 (multiplicity 1)
O: 0.0000 0.5000 0.0000 (multiplicity 2)

Values from the calculation:
Formation energy (no corrections) ... 1.09 eV/atom


# Li14TlHg

A relaxed structure of Li14TlHg (PBE, Alexandria via LeMat-Bulk).

Cell lengths 6.9007, 6.9007, 6.3331 Å; angles 90.00, 90.00, 90.00 degrees
Space group P4/mmm (No. 123)
One atom of each set of equivalent atoms:
Li: 0.0000 0.0000 0.0000 (multiplicity 1)
Li: 0.0000 0.5000 0.0000 (multiplicity 2)
Li: 0.0000 0.5000 0.5000 (multiplicity 2)
Li: 0.2465 0.2465 0.2607 (multiplicity 8)
Li: 0.5000 0.5000 0.0000 (multiplicity 1)
Tl: 0.5000 0.5000 0.5000 (multiplicity 1)
Hg: 0.0000 0.0000 0.5000 (multiplicity 1)

Values from the calculation:
Formation energy from the elements ... -11 kJ/mol of atoms


# NbAlFe2Rh

A relaxed structure of NbAlFe2Rh (PBE, Alexandria via LeMat-Bulk).

Cell lengths 4.4651, 4.4651, 4.7771 Å; angles 90.00, 90.00, 90.00 degrees
Space group P4/mmm (No. 123)
One atom of each set of equivalent atoms:
Nb: 0.0000 0.0000 0.0000 (multiplicity 1)
Al: 0.5000 0.5000 0.5000 (multiplicity 1)
Fe: 0.0000 0.5000 0.0000 (multiplicity 2)
Rh: 0.0000 0.0000 0.5000 (multiplicity 1)

Values from the calculation:
Formation energy from the elements ... 119 kJ/mol of atoms


# HfCuBr2O

A relaxed structure of HfCuBr2O (PBE, Alexandria via LeMat-Bulk).

Cell lengths 5.3876, 5.3876, 3.9355 Å; angles 90.00, 90.00, 90.00 degrees
Space group P4/mmm (No. 123)
One atom of each set of equivalent atoms:
Hf: 0.0000 0.0000 0.0000 (multiplicity 1)
Cu: 0.5000 0.5000 0.5000 (multiplicity 1)
Br: 0.0000 0.5000 0.0000 (multiplicity 2)
O: 0.0000 0.0000 0.5000 (multiplicity 1)

Values from the calculation:
Formation energy (no corrections) ... -0.96 eV/atom


# USi2Ni9

A relaxed structure of USi2Ni9 (PBE, Alexandria via LeMat-Bulk).

Cell lengths 9.7550, 9.7550, 6.1418 Å; angles 90.00, 90.00, 90.00 degrees
Space group I4_1/amd (No. 141, origin choice 2)
One atom of each set of equivalent atoms:
U: 0.0000 0.2500 0.3750 (multiplicity 4)
Si: 0.0000 0.0000 0.0000 (multiplicity 8)
Ni: 0.0000 0.2500 0.8750 (multiplicity 4)
Ni: 0.1230 0.0485 0.6832 (multiplicity 32)

Values from the calculation:
Formation energy (no corrections) ... -0.39 eV/atom


# InGaAgHg

A relaxed structure of InGaAgHg (PBE, Alexandria via LeMat-Bulk).

Cell lengths 7.0597, 7.0597, 7.0597 Å; angles 90.00, 90.00, 90.00 degrees
Space group F-43m (No. 216)
One atom of each set of equivalent atoms:
In: 0.0000 0.0000 0.0000 (multiplicity 4)
Ga: 0.2500 0.2500 0.2500 (multiplicity 4)
Ag: 0.2500 0.2500 0.7500 (multiplicity 4)
Hg: 0.0000 0.0000 0.5000 (multiplicity 4)

Values from the calculation:
Formation energy from the elements ... 7 kJ/mol of atoms


no.,M_tot (μB/f.u.)
1,0.000
2,0.000
3,0.000
4,0.321
5,2.205
6,0.003
7,0.000
8,0.000
9,0.025
10,0.000
11,0.001
12,0.000
13,0.000
14,3.271
15,2.679
16,0.000
17,2.894
18,0.000
19,1.611
20,0.000